[1]
A relaxed Ga2IrI6Cl2 crystal, computed with GGA-PBE.

Structure (POSCAR):
```
Ga2IrI6Cl2
1.0
6.640 -4.555 0.000
6.640 4.555 0.000
-0.672 0.000 8.028
Ir I Cl Ga
1 6 2 2
Direct
0.000 0.000 0.000
0.316 0.913 0.151
0.180 0.180 0.635
0.087 0.684 0.849
0.820 0.820 0.365
0.684 0.087 0.849
0.913 0.316 0.151
0.620 0.620 0.711
0.380 0.380 0.289
0.222 0.222 0.334
0.778 0.778 0.666
```

Values from the calculation:
E	-2.935	eV/atom
symmetry	C2/m, No. 12
size of the total moment	1.001	Bohr magnetons per cell

[2]
A relaxed Mg4Nb3 crystal, computed with GGA-PBE.

Structure (POSCAR):
```
Mg4Nb3
1.0
-3.091 -6.238 -3.807
2.650 -1.954 -7.221
3.468 -2.989 2.082
Mg Nb
8 6
Direct
0.429 0.857 0.000
0.095 0.524 0.500
0.569 0.134 0.000
0.818 0.942 0.500
0.513 0.383 0.500
0.705 0.439 0.000
0.011 0.998 0.000
0.954 0.247 0.500
0.253 0.813 0.500
0.649 0.681 0.500
0.384 0.077 0.500
0.271 0.568 0.000
0.139 0.304 0.000
0.875 0.700 0.000
```

Values from the calculation:
E	-4.994	eV/atom
symmetry	P6_3/m, No. 176
size of the total moment	0.050	Bohr magnetons per cell

[3]
A relaxed BaGdPO crystal, computed with GGA-PBE.

Structure (POSCAR):
```
BaGdPO
1.0
4.074 0.000 0.000
0.000 6.966 0.000
0.000 0.000 7.442
Gd Ba P O
2 2 2 2
Direct
0.500 0.613 0.458
0.500 0.387 0.958
0.000 0.058 0.595
0.000 0.942 0.095
0.500 0.750 0.814
0.500 0.250 0.314
0.000 0.729 0.386
0.000 0.271 0.886
```

Values from the calculation:
E	-6.092	eV/atom
symmetry	Pmc2_1, No. 26
size of the total moment	0.002	Bohr magnetons per cell

Q: Among the records above, which one has the highest size of the total moment?
A: Ga2IrI6Cl2

Q: Which of these has the highest E?
A: Ga2IrI6Cl2

Q: What is the E in the first record?
A: -2.935 eV/atom